[1]
DFT (GGA-PBE) results for a geometry-optimized AcZn5Ag2 structure.

a = 6.662 Å, b = 6.662 Å, c = 6.662 Å
α = 142.52°, β = 113.54°, γ = 78.88°
Sites, in units of the cell vectors:
Ac (0.000, 0.000, 0.000)
Zn (0.187, 0.368, 0.819)
Zn (0.451, 0.632, 0.819)
Zn (0.500, 0.000, 0.500)
Zn (0.549, 0.368, 0.181)
Zn (0.813, 0.632, 0.181)
Ag (0.251, 0.751, 0.500)
Ag (0.749, 0.249, 0.500)

## Properties
Energy of formation in eV per atom: -0.1620
Crystal system: orthorhombic
Total magnetization in μB per formula unit: 0.00

---

[2]
DFT (GGA-PBE) results for a geometry-optimized NaEr2Th structure.

a = 3.557 Å, b = 3.557 Å, c = 10.356 Å
α = 90.00°, β = 90.00°, γ = 90.00°
Sites, in units of the cell vectors:
Na (0.000, 0.000, 0.000)
Er (0.500, 0.500, 0.275)
Er (0.500, 0.500, 0.725)
Th (0.000, 0.000, 0.500)

## Properties
Energy relative to the lowest polymorph listed for this composition in eV/f.u.: 0.00
Energy of formation in eV per atom: 0.1142
Crystal system: tetragonal
Total magnetization in μB per formula unit: 0.00

---

[3]
DFT (GGA-PBE) results for a geometry-optimized NbIrPd2 structure.

a = 3.986 Å, b = 3.871 Å, c = 8.149 Å
α = 90.00°, β = 90.00°, γ = 90.00°
Sites, in units of the cell vectors:
Nb (0.250, 0.000, 0.140)
Nb (0.750, 0.000, 0.860)
Ir (0.250, 0.500, 0.879)
Ir (0.750, 0.500, 0.121)
Pd (0.250, 0.000, 0.634)
Pd (0.250, 0.500, 0.374)
Pd (0.750, 0.000, 0.366)
Pd (0.750, 0.500, 0.626)

## Properties
Energy relative to the lowest polymorph listed for this composition in eV/f.u.: 0.10
Energy of formation in eV per atom: -0.3682
Crystal system: orthorhombic
Total magnetization in μB per formula unit: 0.00

---

[4]
DFT (GGA-PBE) results for a geometry-optimized Sm5InRu4 structure.

a = 3.484 Å, b = 3.484 Å, c = 18.538 Å
α = 90.00°, β = 90.00°, γ = 90.00°
Sites, in units of the cell vectors:
Sm (0.000, 0.000, 0.000)
Sm (0.000, 0.000, 0.186)
Sm (0.000, 0.000, 0.372)
Sm (0.000, 0.000, 0.628)
Sm (0.000, 0.000, 0.814)
In (0.500, 0.500, 0.500)
Ru (0.500, 0.500, 0.094)
Ru (0.500, 0.500, 0.284)
Ru (0.500, 0.500, 0.716)
Ru (0.500, 0.500, 0.906)

## Properties
Energy of formation in eV per atom: -0.2442
Crystal system: tetragonal
Total magnetization in μB per formula unit: 0.00

---

[5]
DFT (GGA-PBE) results for a geometry-optimized SmHfRe4 structure.

a = 5.380 Å, b = 5.380 Å, c = 5.380 Å
α = 60.00°, β = 60.00°, γ = 60.00°
Sites, in units of the cell vectors:
Sm (0.000, 0.000, 0.000)
Hf (0.750, 0.750, 0.750)
Re (0.375, 0.375, 0.375)
Re (0.375, 0.375, 0.874)
Re (0.375, 0.874, 0.375)
Re (0.874, 0.375, 0.375)

## Properties
Energy of formation in eV per atom: -0.1313
Crystal system: cubic
Total magnetization in μB per formula unit: 0.00

---

[6]
DFT (GGA-PBE) results for a geometry-optimized ErMnZnGa structure.

a = 4.649 Å, b = 4.649 Å, c = 4.649 Å
α = 60.00°, β = 60.00°, γ = 60.00°
Sites, in units of the cell vectors:
Er (0.000, 0.000, 0.000)
Mn (0.500, 0.500, 0.500)
Zn (0.250, 0.250, 0.250)
Ga (0.750, 0.750, 0.750)

## Properties
Energy of formation in eV per atom: -0.2136
Crystal system: cubic
Total magnetization in μB per formula unit: 3.15

---

no.,mass density (g/cm³)
1,7.9
2,7.5
3,13.2
4,9.4
5,16.2
6,8.4